Compound: Pm4Mg5Pd2
Source: Alexandria via LeMat-Bulk
Functional: PBE
Structure: optimized geometry

Lattice parameters (Å, degrees): 7.965 3.704 10.003 90.00 92.82 90.00
Space group P2/m (No. 10)
One atom of each set of equivalent atoms:
1 Pm 0.163 0.000 0.358 [2 per cell]
2 Pm 0.227 0.000 0.949 [2 per cell]
3 Mg 0.188 0.500 0.657 [2 per cell]
4 Mg 0.445 0.500 0.186 [2 per cell]
5 Mg 0.500 0.500 0.500 [1 per cell]
6 Pd 0.064 0.500 0.140 [2 per cell]

final energy = -0.137 Ha/atom
spin magnetization = 0.00 μB per formula unit

=====

Compound: NaYPt2
Source: Alexandria via LeMat-Bulk
Functional: PBE
Structure: optimized geometry

Lattice parameters (Å, degrees): 7.587 7.587 5.805 90.00 90.00 90.00
Space group I-42d (No. 122)
One atom of each set of equivalent atoms:
1 Na 0.000 0.000 0.000 [4 per cell]
2 Y 0.000 0.000 0.500 [4 per cell]
3 Pt 0.246 0.250 0.625 [8 per cell]

final energy = -0.199 Ha/atom
spin magnetization = 0.00 μB per formula unit

=====

Compound: Na2LiZrF8
Source: Alexandria via LeMat-Bulk
Functional: PBE
Structure: optimized geometry

Lattice parameters (Å, degrees): 4.910 6.532 5.144 90.00 90.84 90.00
Space group P2/m (No. 10)
One atom of each set of equivalent atoms:
1 Na 0.000 0.246 0.000 [2 per cell]
2 Li 0.500 0.000 0.500 [1 per cell]
3 Zr 0.500 0.500 0.500 [1 per cell]
4 F 0.263 0.500 0.824 [2 per cell]
5 F 0.267 0.262 0.364 [4 per cell]
6 F 0.338 0.000 0.876 [2 per cell]

formation energy from raw total energies = -2941.4 meV/atom
final energy = -0.194 Ha/atom
spin magnetization = 1.16 μB per formula unit

=====

Compound: PmGe3Ru3
Source: Alexandria via LeMat-Bulk
Functional: PBE
Structure: optimized geometry

Lattice parameters (Å, degrees): 6.7431 6.7431 20.8901 90.00 90.00 120.00
Space group R-3 (No. 148, hexagonal axes)
One atom of each set of equivalent atoms:
1 Pm 0.0000 0.0000 0.1692 [6 per cell]
2 Ge 0.0461 0.6154 0.2602 [18 per cell]
3 Ru 0.0248 0.7650 0.7121 [18 per cell]

final energy = -0.252 Ha/atom
spin magnetization = 0.00 μB per formula unit

=====

Compound: Dy3Y2Er6
Source: Alexandria via LeMat-Bulk
Functional: PBE
Structure: optimized geometry

Lattice parameters (Å, degrees): 4.685 4.685 33.149 90.00 90.00 90.00
Space group I4/mmm (No. 139)
One atom of each set of equivalent atoms:
1 Dy 0.000 0.000 0.000 [2 per cell]
2 Dy 0.000 0.000 0.201 [4 per cell]
3 Y 0.000 0.000 0.454 [4 per cell]
4 Er 0.000 0.000 0.304 [4 per cell]
5 Er 0.000 0.500 0.122 [8 per cell]

final energy = -0.170 Ha/atom
spin magnetization = 0.00 μB per formula unit

=====

Compound: SrMg2P
Source: Alexandria via LeMat-Bulk
Functional: PBE
Structure: optimized geometry

Lattice parameters (Å, degrees): 5.894 9.364 4.186 90.00 90.00 90.00
Space group Cmmm (No. 65)
One atom of each set of equivalent atoms:
1 Sr 0.000 0.000 0.000 [2 per cell]
2 Mg 0.000 0.332 0.500 [4 per cell]
3 P 0.000 0.500 0.000 [2 per cell]

final energy = -0.109 Ha/atom
spin magnetization = 0.00 μB per formula unit

=====

Compound: VBC
Source: Alexandria via LeMat-Bulk
Functional: PBE
Structure: optimized geometry

Lattice parameters (Å, degrees): 2.7729 2.7729 6.9747 90.00 90.00 120.00
Space group P6_3/mmc (No. 194)
One atom of each set of equivalent atoms:
1 V 0.0000 0.0000 0.0000 [2 per cell]
2 B 0.3333 0.6667 0.2500 [2 per cell]
3 C 0.3333 0.6667 0.7500 [2 per cell]

final energy = -0.311 Ha/atom
spin magnetization = 0.17 μB per formula unit

=====

Compound: Y6Ag5Ge
Source: Alexandria via LeMat-Bulk
Functional: PBE
Structure: optimized geometry

Lattice parameters (Å, degrees): 5.126 15.482 7.251 90.00 90.00 90.00
Space group Cmmm (No. 65)
One atom of each set of equivalent atoms:
1 Y 0.000 0.000 0.244 [4 per cell]
2 Y 0.000 0.336 0.250 [8 per cell]
3 Ag 0.000 0.168 0.500 [4 per cell]
4 Ag 0.000 0.174 0.000 [4 per cell]
5 Ag 0.000 0.500 0.500 [2 per cell]
6 Ge 0.000 0.500 0.000 [2 per cell]

final energy = -0.192 Ha/atom
spin magnetization = 0.00 μB per formula unit

=====

Compound: Tb2Dy5Er5
Source: Alexandria via LeMat-Bulk
Functional: PBE
Structure: optimized geometry

Lattice parameters (Å, degrees): 14.933 4.982 11.131 90.00 116.55 90.00
Space group C2/m (No. 12)
One atom of each set of equivalent atoms:
1 Tb 0.083 0.000 0.250 [4 per cell]
2 Dy 0.000 0.000 0.500 [2 per cell]
3 Dy 0.166 0.000 0.000 [4 per cell]
4 Dy 0.249 0.000 0.749 [4 per cell]
5 Er 0.000 0.500 0.000 [2 per cell]
6 Er 0.083 0.500 0.750 [4 per cell]
7 Er 0.167 0.500 0.500 [4 per cell]

final energy = -0.168 Ha/atom
spin magnetization = 0.00 μB per formula unit

=====

Compound: HfIn2F11
Source: Alexandria via LeMat-Bulk
Functional: PBE
Structure: optimized geometry

Lattice parameters (Å, degrees): 7.920 9.834 10.381 90.00 90.00 90.00
Space group Ibam (No. 72)
One atom of each set of equivalent atoms:
1 Hf 0.000 0.000 0.250 [4 per cell]
2 In 0.164 0.307 0.000 [8 per cell]
3 F 0.000 0.500 0.000 [4 per cell]
4 F 0.095 0.165 0.145 [16 per cell]
5 F 0.109 0.309 0.500 [8 per cell]
6 F 0.207 0.073 0.362 [16 per cell]

formation energy from raw total energies = -2713.2 meV/atom
final energy = -0.194 Ha/atom
spin magnetization = 1.07 μB per formula unit

=====

Compound: Sb2TeW2
Source: Alexandria via LeMat-Bulk
Functional: PBE
Structure: optimized geometry

Lattice parameters (Å, degrees): 4.640 4.640 11.121 90.00 90.00 90.00
Space group I4/mmm (No. 139)
One atom of each set of equivalent atoms:
1 Sb 0.000 0.500 0.250 [4 per cell]
2 Te 0.000 0.000 0.000 [2 per cell]
3 W 0.000 0.000 0.389 [4 per cell]

formation energy from raw total energies = 858.6 meV/atom
final energy = -0.243 Ha/atom
spin magnetization = 0.00 μB per formula unit

=====

Compound: AcLa4Hg
Source: Alexandria via LeMat-Bulk
Functional: PBE
Structure: optimized geometry

Lattice parameters (Å, degrees): 3.843 3.843 14.506 90.00 90.00 90.00
Space group P4/mmm (No. 123)
One atom of each set of equivalent atoms:
1 Ac 0.000 0.000 0.000 [1 per cell]
2 La 0.000 0.000 0.362 [2 per cell]
3 La 0.500 0.500 0.190 [2 per cell]
4 Hg 0.500 0.500 0.500 [1 per cell]

final energy = -0.154 Ha/atom
spin magnetization = 0.00 μB per formula unit

=====

Which of these has the highest spin magnetization?
Na2LiZrF8

=====

Which value of spin magnetization does entry 5 give?
0.00 μB per formula unit

=====

Please write out number 3 again, unchanged.
Compound: Na2LiZrF8
Source: Alexandria via LeMat-Bulk
Functional: PBE
Structure: optimized geometry

Lattice parameters (Å, degrees): 4.910 6.532 5.144 90.00 90.84 90.00
Space group P2/m (No. 10)
One atom of each set of equivalent atoms:
1 Na 0.000 0.246 0.000 [2 per cell]
2 Li 0.500 0.000 0.500 [1 per cell]
3 Zr 0.500 0.500 0.500 [1 per cell]
4 F 0.263 0.500 0.824 [2 per cell]
5 F 0.267 0.262 0.364 [4 per cell]
6 F 0.338 0.000 0.876 [2 per cell]

formation energy from raw total energies = -2941.4 meV/atom
final energy = -0.194 Ha/atom
spin magnetization = 1.16 μB per formula unit